CaNiHg: optimized geometry, PBE.

Properties
M_tot = 0.000 μB per formula unit
space-group type = No. 74
formation energy from the elements = -0.222 eV per atom
uncorrected energy = -2.917 eV/atom

CIF file:
```
data_CaNiHg
_chemical_formula_sum 'Ca4 Ni4 Hg4'
_cell_length_a 4.4562
_cell_length_b 4.6475
_cell_length_c 13.3791
_cell_angle_alpha 90.00
_cell_angle_beta 90.00
_cell_angle_gamma 90.00
_space_group_name_H-M_alt 'P 1'
_space_group_IT_number 1
loop_
_space_group_symop_operation_xyz
'x,y,z'
loop_
_atom_site_label
_atom_site_type_symbol
_atom_site_fract_x
_atom_site_fract_y
_atom_site_fract_z
Ca1 Ca 0.0000 0.2500 0.1153
Ca2 Ca 0.0000 0.7500 0.8847
Ca3 Ca 0.5000 0.2500 0.3847
Ca4 Ca 0.5000 0.7500 0.6153
Ni1 Ni 0.0000 0.0000 0.5000
Ni2 Ni 0.0000 0.5000 0.5000
Ni3 Ni 0.5000 0.0000 0.0000
Ni4 Ni 0.5000 0.5000 0.0000
Hg1 Hg 0.0000 0.2500 0.6766
Hg2 Hg 0.0000 0.7500 0.3234
Hg3 Hg 0.5000 0.2500 0.8234
Hg4 Hg 0.5000 0.7500 0.1766
```

***

Ca5Ni2Hg: optimized geometry, PBE.

Properties
M_tot = 0.000 μB per formula unit
space-group type = No. 140
formation energy from the elements = -0.249 eV per atom
uncorrected energy = -2.983 eV/atom

CIF file:
```
data_Ca5Ni2Hg
_chemical_formula_sum 'Ca10 Ni4 Hg2'
_cell_length_a 9.1807
_cell_length_b 9.1807
_cell_length_c 9.1807
_cell_angle_alpha 130.67
_cell_angle_beta 130.67
_cell_angle_gamma 72.34
_space_group_name_H-M_alt 'P 1'
_space_group_IT_number 1
loop_
_space_group_symop_operation_xyz
'x,y,z'
loop_
_atom_site_label
_atom_site_type_symbol
_atom_site_fract_x
_atom_site_fract_y
_atom_site_fract_z
Ca1 Ca 0.0000 0.0000 0.0000
Ca2 Ca 0.0374 0.5374 0.8427
Ca3 Ca 0.1948 0.0374 0.5000
Ca4 Ca 0.3052 0.8052 0.8427
Ca5 Ca 0.4626 0.3052 0.5000
Ca6 Ca 0.5000 0.5000 0.0000
Ca7 Ca 0.5374 0.6948 0.5000
Ca8 Ca 0.6948 0.1948 0.1573
Ca9 Ca 0.8052 0.9626 0.5000
Ca10 Ca 0.9626 0.4626 0.1573
Ni1 Ni 0.1102 0.3898 0.5000
Ni2 Ni 0.3898 0.8898 0.2796
Ni3 Ni 0.6102 0.1102 0.7204
Ni4 Ni 0.8898 0.6102 0.5000
Hg1 Hg 0.2500 0.2500 0.0000
Hg2 Hg 0.7500 0.7500 0.0000
```

***

CaNi2Hg2: optimized geometry, PBE.

Properties
M_tot = 0.000 μB per formula unit
energy above the most stable polymorph in this dataset = 3.7 meV/atom
space-group type = No. 139
formation energy from the elements = -0.054 eV per atom
uncorrected energy = -2.888 eV/atom

CIF file:
```
data_CaNi2Hg2
_chemical_formula_sum 'Ca2 Ni4 Hg4'
_cell_length_a 4.3710
_cell_length_b 4.3710
_cell_length_c 10.6250
_cell_angle_alpha 90.00
_cell_angle_beta 90.00
_cell_angle_gamma 90.00
_space_group_name_H-M_alt 'P 1'
_space_group_IT_number 1
loop_
_space_group_symop_operation_xyz
'x,y,z'
loop_
_atom_site_label
_atom_site_type_symbol
_atom_site_fract_x
_atom_site_fract_y
_atom_site_fract_z
Ca1 Ca 0.0000 0.0000 0.0000
Ca2 Ca 0.5000 0.5000 0.5000
Ni1 Ni 0.0000 0.0000 0.3945
Ni2 Ni 0.0000 0.0000 0.6055
Ni3 Ni 0.5000 0.5000 0.1055
Ni4 Ni 0.5000 0.5000 0.8945
Hg1 Hg 0.0000 0.5000 0.2500
Hg2 Hg 0.0000 0.5000 0.7500
Hg3 Hg 0.5000 0.0000 0.2500
Hg4 Hg 0.5000 0.0000 0.7500
```

***

CaNiHg3: optimized geometry, PBE.

Properties
M_tot = 0.909 μB per formula unit
energy above the most stable polymorph in this dataset = 964.6 meV/atom
space-group type = No. 221
formation energy from the elements = 0.840 eV per atom
uncorrected energy = -0.898 eV/atom

CIF file:
```
data_CaNiHg3
_chemical_formula_sum 'Ca1 Ni1 Hg3'
_cell_length_a 5.9597
_cell_length_b 5.9597
_cell_length_c 5.9597
_cell_angle_alpha 90.00
_cell_angle_beta 90.00
_cell_angle_gamma 90.00
_space_group_name_H-M_alt 'P 1'
_space_group_IT_number 1
loop_
_space_group_symop_operation_xyz
'x,y,z'
loop_
_atom_site_label
_atom_site_type_symbol
_atom_site_fract_x
_atom_site_fract_y
_atom_site_fract_z
Ca1 Ca 0.0000 0.0000 0.0000
Ni1 Ni 0.5000 0.5000 0.5000
Hg1 Hg 0.0000 0.0000 0.5000
Hg2 Hg 0.0000 0.5000 0.0000
Hg3 Hg 0.5000 0.0000 0.0000
```